<i>
# Li3CrF | Alexandria via LeMat-Bulk | GGA+U | optimized geometry
# space-group type	No. 221
# size of the total moment	5.8	Bohr magnetons per cell
data_Li3CrF
_chemical_formula_sum 'Li3 Cr1 F1'
_space_group_name_H-M_alt 'P 1'
_space_group_IT_number 1
_cell_length_a 4.241
_cell_length_b 4.241
_cell_length_c 4.241
_cell_angle_alpha 90.00
_cell_angle_beta 90.00
_cell_angle_gamma 90.00
loop_
_space_group_symop_operation_xyz
'x,y,z'
loop_
_atom_site_label
_atom_site_fract_x
_atom_site_fract_y
_atom_site_fract_z
F1 0.000 0.000 0.000
Li1 0.500 0.000 0.000
Li2 0.000 0.500 0.000
Li3 0.000 0.000 0.500
Cr1 0.500 0.500 0.500

=====

<ii>
# Li3CrF | Alexandria via LeMat-Bulk | GGA+U | optimized geometry
# space-group type	No. 221
# size of the total moment	5.9	Bohr magnetons per cell
data_Li3CrF
_chemical_formula_sum 'Li3 Cr1 F1'
_space_group_name_H-M_alt 'P 1'
_space_group_IT_number 1
_cell_length_a 5.163
_cell_length_b 5.163
_cell_length_c 5.163
_cell_angle_alpha 90.00
_cell_angle_beta 90.00
_cell_angle_gamma 90.00
loop_
_space_group_symop_operation_xyz
'x,y,z'
loop_
_atom_site_label
_atom_site_fract_x
_atom_site_fract_y
_atom_site_fract_z
Li1 0.000 0.000 0.500
Li2 0.000 0.500 0.000
Li3 0.500 0.000 0.000
F1 0.500 0.500 0.500
Cr1 0.000 0.000 0.000

=====

Winner for stability: <i>

=====

<i>
# Na2LiCrF6 | Alexandria via LeMat-Bulk | GGA+U | optimized geometry
# space-group type	No. 14
# size of the total moment	6.0	Bohr magnetons per cell
data_Na2LiCrF6
_chemical_formula_sum 'Na4 Li2 Cr2 F12'
_space_group_name_H-M_alt 'P 1'
_space_group_IT_number 1
_cell_length_a 5.407
_cell_length_b 5.575
_cell_length_c 7.734
_cell_angle_alpha 90.00
_cell_angle_beta 89.67
_cell_angle_gamma 90.00
loop_
_space_group_symop_operation_xyz
'x,y,z'
loop_
_atom_site_label
_atom_site_fract_x
_atom_site_fract_y
_atom_site_fract_z
F1 0.791 0.805 0.548
F2 0.291 0.695 0.048
F3 0.691 0.288 0.552
F4 0.096 0.468 0.758
F5 0.309 0.712 0.448
F6 0.404 0.968 0.742
F7 0.809 0.788 0.948
F8 0.904 0.532 0.242
F9 0.709 0.305 0.952
F10 0.191 0.212 0.052
F11 0.596 0.032 0.258
F12 0.209 0.195 0.452
Na1 0.514 0.553 0.751
Na2 0.014 0.947 0.251
Na3 0.486 0.447 0.249
Na4 0.986 0.053 0.749
Cr1 0.500 0.000 0.500
Cr2 0.000 0.500 0.000
Li1 0.000 0.500 0.500
Li2 0.500 0.000 0.000

=====

<ii>
# Na2LiCrF6 | Alexandria via LeMat-Bulk | GGA+U | optimized geometry
# space-group type	No. 225
# size of the total moment	3.0	Bohr magnetons per cell
data_Na2LiCrF6
_chemical_formula_sum 'Na2 Li1 Cr1 F6'
_space_group_name_H-M_alt 'P 1'
_space_group_IT_number 1
_cell_length_a 5.548
_cell_length_b 5.548
_cell_length_c 5.548
_cell_angle_alpha 60.00
_cell_angle_beta 60.00
_cell_angle_gamma 60.00
loop_
_space_group_symop_operation_xyz
'x,y,z'
loop_
_atom_site_label
_atom_site_fract_x
_atom_site_fract_y
_atom_site_fract_z
F1 0.754 0.246 0.246
F2 0.246 0.754 0.246
F3 0.246 0.754 0.754
F4 0.754 0.754 0.246
F5 0.754 0.246 0.754
F6 0.246 0.246 0.754
Na1 0.750 0.750 0.750
Na2 0.250 0.250 0.250
Li1 0.500 0.500 0.500
Cr1 0.000 0.000 0.000

=====

Winner for stability: <i>

=====

<i>
# LiCrPO4F | Alexandria via LeMat-Bulk | GGA+U | optimized geometry
# space-group type	No. 2
# size of the total moment	6.0	Bohr magnetons per cell
data_LiCrPO4F
_chemical_formula_sum 'Li2 Cr2 P2 O8 F2'
_space_group_name_H-M_alt 'P 1'
_space_group_IT_number 1
_cell_length_a 5.196
_cell_length_b 5.355
_cell_length_c 7.279
_cell_angle_alpha 106.95
_cell_angle_beta 108.38
_cell_angle_gamma 98.26
loop_
_space_group_symop_operation_xyz
'x,y,z'
loop_
_atom_site_label
_atom_site_fract_x
_atom_site_fract_y
_atom_site_fract_z
O1 0.746 0.212 0.394
O2 0.371 0.243 0.080
O3 0.307 0.341 0.657
O4 0.629 0.757 0.920
O5 0.881 0.335 0.116
O6 0.254 0.788 0.606
O7 0.119 0.665 0.884
O8 0.693 0.659 0.343
P1 0.321 0.643 0.762
P2 0.679 0.357 0.238
F1 0.872 0.067 0.736
F2 0.128 0.933 0.264
Li1 0.727 0.385 0.810
Li2 0.273 0.615 0.190
Cr1 0.000 0.000 0.500
Cr2 0.000 0.000 0.000

=====

<ii>
# LiCrPO4F | Alexandria via LeMat-Bulk | GGA+U | optimized geometry
# space-group type	No. 33
# size of the total moment	24.0	Bohr magnetons per cell
data_LiCrPO4F
_chemical_formula_sum 'Li8 Cr8 P8 O32 F8'
_space_group_name_H-M_alt 'P 1'
_space_group_IT_number 1
_cell_length_a 6.285
_cell_length_b 10.660
_cell_length_c 12.791
_cell_angle_alpha 90.00
_cell_angle_beta 90.00
_cell_angle_gamma 90.00
loop_
_space_group_symop_operation_xyz
'x,y,z'
loop_
_atom_site_label
_atom_site_fract_x
_atom_site_fract_y
_atom_site_fract_z
O1 0.713 0.763 0.112
O2 0.806 0.487 0.604
O3 0.194 0.987 0.396
O4 0.837 0.198 0.388
O5 0.534 0.350 0.743
O6 0.323 0.005 0.086
O7 0.506 0.094 0.492
O8 0.287 0.263 0.888
O9 0.545 0.358 0.499
O10 0.455 0.858 0.501
O11 0.006 0.594 0.008
O12 0.663 0.198 0.888
O13 0.431 0.134 0.732
O14 0.045 0.858 0.001
O15 0.823 0.505 0.414
O16 0.177 0.005 0.586
O17 0.931 0.634 0.768
O18 0.694 0.487 0.104
O19 0.306 0.987 0.896
O20 0.163 0.698 0.612
O21 0.466 0.850 0.257
O22 0.494 0.594 0.508
O23 0.677 0.505 0.914
O24 0.337 0.698 0.112
O25 0.955 0.358 0.999
O26 0.569 0.634 0.268
O27 0.787 0.763 0.612
O28 0.034 0.850 0.757
O29 0.213 0.263 0.388
O30 0.966 0.350 0.243
O31 0.994 0.094 0.992
O32 0.069 0.134 0.232
F1 0.040 0.870 0.220
F2 0.501 0.111 0.267
F3 0.499 0.611 0.733
F4 0.540 0.370 0.280
F5 0.460 0.870 0.720
F6 0.960 0.370 0.780
F7 0.001 0.611 0.233
F8 0.999 0.111 0.767
P1 0.024 0.238 0.315
P2 0.476 0.238 0.815
P3 0.163 0.986 0.994
P4 0.837 0.486 0.006
P5 0.337 0.986 0.494
P6 0.976 0.738 0.685
P7 0.524 0.738 0.185
P8 0.663 0.486 0.506
Li1 0.498 0.235 0.609
Li2 0.419 0.549 0.024
Li3 0.998 0.735 0.891
Li4 0.581 0.049 0.976
Li5 0.919 0.049 0.476
Li6 0.002 0.235 0.109
Li7 0.502 0.735 0.391
Li8 0.081 0.549 0.524
Cr1 0.478 0.733 0.618
Cr2 0.768 0.492 0.258
Cr3 0.522 0.233 0.382
Cr4 0.268 0.992 0.242
Cr5 0.732 0.492 0.758
Cr6 0.022 0.733 0.118
Cr7 0.232 0.992 0.742
Cr8 0.978 0.233 0.882

=====

Winner for stability: <i>